(1)
Density functional theory data (PBE-GGA) for TaCd2P after structural relaxation.

Properties
The space group is P4/mmm (123). The total energy is -4.46 eV per atom.

abc: 5.083 3.808 3.808
angles: 90.00 90.00 90.00
Element x y z (fractional)
Cd1 0.000 0.500 0.500
Cd2 0.000 0.000 0.000
P1 0.500 0.500 0.000
Ta1 0.500 0.000 0.500

---

(2)
Density functional theory data (PBE-GGA) for Sn2SBrCl after structural relaxation.

Properties
The space group is P2/c (13). The total energy is -3.79 eV per atom.

abc: 6.889 7.130 7.003
angles: 110.18 90.00 90.00
Element x y z (fractional)
Sn1 0.313 0.239 0.064
Sn2 0.687 0.239 0.564
Sn3 0.687 0.761 0.936
Sn4 0.313 0.761 0.436
Cl1 0.000 0.000 0.500
Cl2 0.000 0.000 0.000
S1 0.487 0.000 0.250
S2 0.513 0.000 0.750
Br1 0.680 0.500 0.250
Br2 0.320 0.500 0.750

---

(3)
Density functional theory data (PBE-GGA) for MnFeSi2 after structural relaxation.

Properties
The space group is Pmm2 (25). The total energy is -7.37 eV per atom.

abc: 4.275 2.633 4.023
angles: 90.00 90.00 90.00
Each line ends with the local moment (μB).
Element x y z (fractional)
Si1 0.000 0.875 0.026  -0.01
Si2 0.500 0.375 0.226  -0.03
Mn1 0.500 0.875 0.725  1.07
Fe1 0.000 0.375 0.522  0.04

---

(4)
Density functional theory data (PBE-GGA) for Nd8Hg2Os after structural relaxation.

Properties
The space group is Immm (71). For the energy above the lowest structure with this stoichiometry, the calculation gives 105 meV per atom.

abc: 5.045 8.736 8.986
angles: 119.08 106.30 90.00
Element x y z (fractional)
Nd1 0.348 0.113 0.696
Nd2 0.118 0.118 0.236
Nd3 0.348 0.583 0.696
Nd4 0.000 0.667 0.000
Nd5 0.000 0.333 0.000
Nd6 0.652 0.887 0.304
Nd7 0.882 0.882 0.764
Nd8 0.652 0.417 0.304
Os1 0.500 0.000 0.000
Hg1 0.199 0.699 0.397
Hg2 0.801 0.301 0.603

---

(5)
Density functional theory data (PBE-GGA) for RbCaEu after structural relaxation.

Properties
The space group is P3m1 (156). For the energy above the lowest structure with this stoichiometry, the calculation gives 0 meV per atom.

abc: 4.115 4.115 10.825
angles: 90.00 90.00 120.00
Each line ends with the local moment (μB).
Element x y z (fractional)
Rb1 0.000 0.000 0.003  -0.01
Eu1 0.333 0.667 0.642  -7.02
Ca1 0.667 0.333 0.355  -0.01

---

(6)
Density functional theory data (PBE-GGA) for Sc2HgCl after structural relaxation.

Properties
The space group is P4mm (99). For the energy above the lowest structure with this stoichiometry, the calculation gives 107 meV per atom.

abc: 3.639 3.640 6.678
angles: 90.00 90.00 90.00
Element x y z (fractional)
Sc1 0.000 0.000 0.000
Sc2 0.500 0.500 0.311
Hg1 0.500 0.500 0.793
Cl1 0.000 0.000 0.396

---

Number 1: calculated volume 18.43 A^3/atom. Number 2: calculated volume 32.29 A^3/atom. Number 3: calculated volume 11.32 A^3/atom. Number 4: calculated volume 29.80 A^3/atom. Number 5: calculated volume 52.91 A^3/atom. Number 6: calculated volume 22.12 A^3/atom.